Record 1
Compound: BeHg3P
Source: Alexandria via LeMat-Bulk
Functional: GGA-PBE
Structure: relaxed

Cell lengths 4.811, 4.811, 4.811 Å; angles 90.00, 90.00, 90.00 degrees
Atoms (fractional coordinates):
Be: 0.000 0.000 0.000
Hg: 0.000 0.000 0.500
Hg: 0.000 0.500 0.000
Hg: 0.500 0.000 0.000
P: 0.500 0.500 0.500

## Properties
Symmetry = No. 221
Energy of formation from the pure elements = 664 meV per atom

Record 2
Compound: BeHgP2
Source: Alexandria via LeMat-Bulk
Functional: GGA-PBE
Structure: relaxed

Cell lengths 3.740, 3.740, 7.344 Å; angles 90.00, 90.00, 130.12 degrees
Atoms (fractional coordinates):
Be: 0.000 0.000 0.000
Hg: 0.500 0.500 0.261
P: 0.000 0.000 0.580
P: 0.500 0.500 0.786

## Properties
Symmetry = No. 35
Energy of formation from the pure elements = 560 meV per atom

Record 3
Compound: BeHgP2
Source: Alexandria via LeMat-Bulk
Functional: GGA-PBE
Structure: relaxed

Cell lengths 3.402, 3.402, 6.249 Å; angles 90.00, 90.00, 90.00 degrees
Atoms (fractional coordinates):
Be: 0.000 0.000 0.000
Hg: 0.500 0.500 0.000
P: 0.000 0.500 0.500
P: 0.500 0.000 0.500

## Properties
Symmetry = No. 123
Energy of formation from the pure elements = 598 meV per atom

Record 4
Compound: BeHgP2
Source: Alexandria via LeMat-Bulk
Functional: GGA-PBE
Structure: relaxed

Cell lengths 5.128, 5.128, 5.128 Å; angles 144.02, 104.31, 86.77 degrees
Atoms (fractional coordinates):
Be: 0.000 0.000 0.000
Hg: 0.261 0.761 0.500
P: 0.581 0.581 0.000
P: 0.790 0.290 0.500

## Properties
Symmetry = No. 44
Energy of formation from the pure elements = 532 meV per atom

Record 5
Compound: BeHgP2
Source: Alexandria via LeMat-Bulk
Functional: GGA-PBE
Structure: relaxed

Cell lengths 3.918, 3.918, 6.872 Å; angles 109.35, 109.35, 50.62 degrees
Atoms (fractional coordinates):
Be: 0.000 0.000 0.000
Hg: 0.572 0.572 0.489
P: 0.329 0.329 0.078
P: 0.377 0.377 0.781

## Properties
Symmetry = No. 8
Energy of formation from the pure elements = 139 meV per atom

Record 6
Compound: BeHgP2
Source: Alexandria via LeMat-Bulk
Functional: GGA-PBE
Structure: relaxed

Cell lengths 3.060, 3.060, 7.371 Å; angles 90.00, 90.00, 90.00 degrees
Atoms (fractional coordinates):
Be: 0.000 0.000 0.000
Hg: 0.500 0.500 0.306
P: 0.000 0.000 0.702
P: 0.500 0.500 0.867

## Properties
Symmetry = No. 99
Energy of formation from the pure elements = 457 meV per atom

Record 7
Compound: BeHgP
Source: Alexandria via LeMat-Bulk
Functional: GGA-PBE
Structure: relaxed

Cell lengths 4.156, 4.156, 4.156 Å; angles 60.00, 60.00, 60.00 degrees
Atoms (fractional coordinates):
Be: 0.000 0.000 0.000
Hg: 0.250 0.250 0.250
P: 0.750 0.750 0.750

## Properties
Symmetry = No. 216
Energy of formation from the pure elements = 389 meV per atom

Record 8
Compound: BeHgP2
Source: Alexandria via LeMat-Bulk
Functional: GGA-PBE
Structure: relaxed

Cell lengths 3.408, 3.634, 5.160 Å; angles 90.00, 90.09, 90.00 degrees
Atoms (fractional coordinates):
Be: 0.000 0.000 0.000
Hg: 0.500 0.500 0.000
P: 0.000 0.000 0.500
P: 0.500 0.500 0.500

## Properties
Symmetry = No. 10
Energy of formation from the pure elements = 461 meV per atom

Record 9
Compound: BeHgP2
Source: Alexandria via LeMat-Bulk
Functional: GGA-PBE
Structure: relaxed

Cell lengths 4.416, 4.416, 4.208 Å; angles 106.50, 106.50, 110.40 degrees
Atoms (fractional coordinates):
Be: 0.000 0.000 0.000
Hg: 0.500 0.500 0.000
P: 0.000 0.500 0.500
P: 0.500 0.000 0.500

## Properties
Symmetry = No. 12
Energy of formation from the pure elements = 533 meV per atom

Record 10
Compound: BeHgP2
Source: Alexandria via LeMat-Bulk
Functional: GGA-PBE
Structure: relaxed

Cell lengths 6.797, 6.797, 6.797 Å; angles 151.30, 151.30, 41.03 degrees
Atoms (fractional coordinates):
Be: 0.000 0.000 0.000
Hg: 0.500 0.500 0.000
P: 0.250 0.750 0.500
P: 0.750 0.250 0.500

## Properties
Symmetry = No. 139
Energy of formation from the pure elements = 611 meV per atom

Record 11
Compound: BeHgP2
Source: Alexandria via LeMat-Bulk
Functional: GGA-PBE
Structure: relaxed

Cell lengths 4.504, 4.504, 3.806 Å; angles 90.00, 90.00, 116.57 degrees
Atoms (fractional coordinates):
Be: 0.000 0.000 0.000
Hg: 0.500 0.500 0.000
P: 0.000 0.500 0.500
P: 0.500 0.000 0.500

## Properties
Symmetry = No. 65
Energy of formation from the pure elements = 705 meV per atom

Record 12
Compound: BeHgP2
Source: Alexandria via LeMat-Bulk
Functional: GGA-PBE
Structure: relaxed

Cell lengths 4.739, 4.739, 4.739 Å; angles 127.40, 127.40, 77.60 degrees
Atoms (fractional coordinates):
Be: 0.000 0.000 0.000
Hg: 0.250 0.750 0.500
P: 0.500 0.500 0.000
P: 0.750 0.250 0.500

## Properties
Symmetry = No. 119
Energy of formation from the pure elements = 849 meV per atom

Record 13
Compound: BeHgP
Source: Alexandria via LeMat-Bulk
Functional: GGA-PBE
Structure: relaxed

Cell lengths 6.796, 6.631, 3.027 Å; angles 80.03, 73.96, 26.02 degrees
Atoms (fractional coordinates):
Be: 0.000 0.000 0.000
Hg: 0.698 0.698 0.302
P: 0.429 0.429 0.571

## Properties
Symmetry = No. 42
Energy of formation from the pure elements = 396 meV per atom

Record 14
Compound: BeHgP2
Source: Alexandria via LeMat-Bulk
Functional: GGA-PBE
Structure: relaxed

Cell lengths 4.490, 4.490, 4.490 Å; angles 60.00, 60.00, 60.00 degrees
Atoms (fractional coordinates):
Be: 0.000 0.000 0.000
Hg: 0.250 0.250 0.250
P: 0.500 0.500 0.500
P: 0.750 0.750 0.750

## Properties
Symmetry = No. 216
Energy of formation from the pure elements = 862 meV per atom

Record 15
Compound: BeHgP2
Source: Alexandria via LeMat-Bulk
Functional: GGA-PBE
Structure: relaxed

Cell lengths 9.973, 9.973, 9.973 Å; angles 16.47, 16.47, 16.47 degrees
Atoms (fractional coordinates):
Be: 0.000 0.000 0.000
Hg: 0.500 0.500 0.500
P: 0.277 0.277 0.277
P: 0.723 0.723 0.723

## Properties
Symmetry = No. 166
Energy of formation from the pure elements = 379 meV per atom

Record 16
Compound: BeHgP2
Source: Alexandria via LeMat-Bulk
Functional: GGA-PBE
Structure: relaxed

Cell lengths 4.550, 4.550, 4.550 Å; angles 60.00, 60.00, 60.00 degrees
Atoms (fractional coordinates):
Be: 0.000 0.000 0.000
Hg: 0.500 0.500 0.500
P: 0.250 0.250 0.250
P: 0.750 0.750 0.750

## Properties
Symmetry = No. 225
Energy of formation from the pure elements = 920 meV per atom

Record 17
Compound: BeHgP2
Source: Alexandria via LeMat-Bulk
Functional: GGA-PBE
Structure: relaxed

Cell lengths 3.883, 3.544, 5.909 Å; angles 90.00, 107.99, 90.00 degrees
Atoms (fractional coordinates):
Be: 0.000 0.000 0.000
Hg: 0.500 0.000 0.500
P: 0.221 0.500 0.879
P: 0.779 0.500 0.121

## Properties
Symmetry = No. 10
Energy of formation from the pure elements = 160 meV per atom

Record 18
Compound: BeHgP2
Source: Alexandria via LeMat-Bulk
Functional: GGA-PBE
Structure: relaxed

Cell lengths 3.154, 3.154, 6.764 Å; angles 90.00, 90.00, 90.00 degrees
Atoms (fractional coordinates):
Be: 0.000 0.000 0.000
Hg: 0.500 0.500 0.169
P: 0.000 0.000 0.684
P: 0.500 0.500 0.567

## Properties
Symmetry = No. 99
Energy of formation from the pure elements = 205 meV per atom

Record 19
Compound: BeHgP2
Source: Alexandria via LeMat-Bulk
Functional: GGA-PBE
Structure: relaxed

Cell lengths 5.440, 5.440, 4.362 Å; angles 101.11, 101.11, 35.26 degrees
Atoms (fractional coordinates):
Be: 0.000 0.000 0.000
Hg: 0.500 0.500 0.500
P: 0.212 0.212 0.125
P: 0.788 0.788 0.875

## Properties
Symmetry = No. 12
Energy of formation from the pure elements = 189 meV per atom

Record 20
Compound: BeHgP4
Source: Alexandria via LeMat-Bulk
Functional: GGA-PBE
Structure: relaxed

Cell lengths 6.276, 6.276, 6.276 Å; angles 60.00, 60.00, 60.00 degrees
Atoms (fractional coordinates):
Be: 0.000 0.000 0.000
Hg: 0.750 0.750 0.750
P: 0.338 0.338 0.338
P: 0.338 0.338 0.986
P: 0.338 0.986 0.338
P: 0.986 0.338 0.338

## Properties
Symmetry = No. 216
Energy of formation from the pure elements = 673 meV per atom

Record 21
Compound: BeHgP2
Source: Alexandria via LeMat-Bulk
Functional: GGA-PBE
Structure: relaxed

Cell lengths 5.644, 5.644, 5.644 Å; angles 152.00, 128.97, 59.21 degrees
Atoms (fractional coordinates):
Be: 0.000 0.000 0.000
Hg: 0.500 0.500 0.000
P: 0.189 0.689 0.500
P: 0.811 0.311 0.500

## Properties
Symmetry = No. 71
Energy of formation from the pure elements = 515 meV per atom

Record 22
Compound: BeHgP2
Source: Alexandria via LeMat-Bulk
Functional: GGA-PBE
Structure: relaxed

Cell lengths 7.228, 7.228, 7.228 Å; angles 140.23, 140.23, 57.50 degrees
Atoms (fractional coordinates):
Be: 0.000 0.000 0.000
Be: 0.750 0.250 0.500
Hg: 0.250 0.750 0.500
Hg: 0.500 0.500 0.000
P: 0.017 0.625 0.892
P: 0.375 0.267 0.392
P: 0.733 0.125 0.108
P: 0.875 0.983 0.608

## Properties
Symmetry = No. 122
Energy of formation from the pure elements = 204 meV per atom

Record 23
Compound: BeHgP
Source: Alexandria via LeMat-Bulk
Functional: GGA-PBE
Structure: relaxed

Cell lengths 4.310, 4.310, 4.310 Å; angles 60.00, 60.00, 60.00 degrees
Atoms (fractional coordinates):
Be: 0.000 0.000 0.000
Hg: 0.750 0.750 0.750
P: 0.500 0.500 0.500

## Properties
Symmetry = No. 216
Energy of formation from the pure elements = 784 meV per atom

Record 24
Compound: Be4HgP
Source: Alexandria via LeMat-Bulk
Functional: GGA-PBE
Structure: relaxed

Cell lengths 4.672, 4.672, 4.672 Å; angles 60.00, 60.00, 60.00 degrees
Atoms (fractional coordinates):
Be: 0.123 0.123 0.123
Be: 0.123 0.123 0.630
Be: 0.123 0.630 0.123
Be: 0.630 0.123 0.123
Hg: 0.500 0.500 0.500
P: 0.750 0.750 0.750

## Properties
Symmetry = No. 216
Energy of formation from the pure elements = 496 meV per atom

Record 25
Compound: BeHgP2Pb
Source: Alexandria via LeMat-Bulk
Functional: GGA-PBE
Structure: relaxed

Cell lengths 4.424, 4.424, 5.261 Å; angles 90.00, 90.00, 90.00 degrees
Atoms (fractional coordinates):
Be: 0.000 0.000 0.000
Hg: 0.000 0.000 0.500
P: 0.000 0.500 0.000
P: 0.500 0.000 0.000
Pb: 0.500 0.500 0.500

## Properties
Symmetry = No. 123
Energy of formation from the pure elements = 434 meV per atom

Record 26
Compound: BeHg2PPt
Source: Alexandria via LeMat-Bulk
Functional: GGA-PBE
Structure: relaxed

Cell lengths 5.154, 5.154, 3.850 Å; angles 90.00, 90.00, 90.00 degrees
Atoms (fractional coordinates):
Be: 0.000 0.000 0.000
Hg: 0.000 0.500 0.500
Hg: 0.500 0.000 0.500
P: 0.000 0.000 0.500
Pt: 0.500 0.500 0.000

## Properties
Symmetry = No. 123
Energy of formation from the pure elements = 595 meV per atom

Record 27
Compound: BeHg2PRh
Source: Alexandria via LeMat-Bulk
Functional: GGA-PBE
Structure: relaxed

Cell lengths 4.793, 4.793, 3.939 Å; angles 90.00, 90.00, 90.00 degrees
Atoms (fractional coordinates):
Be: 0.000 0.000 0.000
Hg: 0.000 0.500 0.000
Hg: 0.500 0.000 0.000
P: 0.000 0.000 0.500
Rh: 0.500 0.500 0.500

## Properties
Symmetry = No. 123
Energy of formation from the pure elements = 633 meV per atom

Record 28
Compound: BeHgP2S
Source: Alexandria via LeMat-Bulk
Functional: GGA-PBE
Structure: relaxed

Cell lengths 4.986, 4.986, 5.009 Å; angles 90.00, 90.00, 90.00 degrees
Atoms (fractional coordinates):
Be: 0.000 0.000 0.000
Hg: 0.500 0.500 0.500
P: 0.000 0.500 0.500
P: 0.500 0.000 0.500
S: 0.500 0.500 0.000

## Properties
Formation energy (no corrections) = 1.700 eV/atom
Symmetry = No. 123

Record 29
Compound: BeHgPS2
Source: Alexandria via LeMat-Bulk
Functional: GGA-PBE
Structure: relaxed

Cell lengths 5.015, 5.015, 4.967 Å; angles 90.00, 90.00, 90.00 degrees
Atoms (fractional coordinates):
Be: 0.000 0.000 0.000
Hg: 0.500 0.500 0.500
P: 0.500 0.500 0.000
S: 0.000 0.500 0.500
S: 0.500 0.000 0.500

## Properties
Formation energy (no corrections) = 1.518 eV/atom
Symmetry = No. 123

Record 30
Compound: BeHgP2S
Source: Alexandria via LeMat-Bulk
Functional: GGA-PBE
Structure: relaxed

Cell lengths 4.402, 4.402, 4.435 Å; angles 90.00, 90.00, 90.00 degrees
Atoms (fractional coordinates):
Be: 0.000 0.000 0.000
Hg: 0.500 0.500 0.500
P: 0.000 0.500 0.000
P: 0.500 0.000 0.000
S: 0.000 0.000 0.500

## Properties
Formation energy (no corrections) = 0.658 eV/atom
Symmetry = No. 123